# Pr3TmP4 (PBE, relaxed)
data_Pr3TmP4
_space_group_name_H-M_alt 'P 1'
_space_group_IT_number 1
_cell_length_a 7.176
_cell_length_b 7.173
_cell_length_c 8.295
_cell_angle_alpha 90.00
_cell_angle_beta 90.00
_cell_angle_gamma 109.51
loop_
_space_group_symop_operation_xyz
'x,y,z'
loop_
_atom_site_label
_atom_site_fract_x
_atom_site_fract_y
_atom_site_fract_z
_atom_site_occupancy
Pr1 0.250 0.500 0.876 1
Pr2 0.250 0.000 0.627 1
Pr3 0.750 0.000 0.373 1
Pr4 0.750 0.500 0.627 1
Pr5 0.750 0.500 0.124 1
Pr6 0.250 0.500 0.373 1
P1 0.500 0.239 0.881 1
P2 0.000 0.761 0.881 1
P3 0.494 0.245 0.369 1
P4 0.500 0.761 0.119 1
P5 0.000 0.239 0.119 1
P6 0.506 0.755 0.631 1
P7 0.006 0.755 0.369 1
P8 0.994 0.245 0.631 1
Tm1 0.750 0.000 0.876 1
Tm2 0.250 0.000 0.124 1
# Energy of formation (eV/atom): -1.52

# Lu2AlPb (PBE, relaxed)
data_Lu2AlPb
_space_group_name_H-M_alt 'P 1'
_space_group_IT_number 1
_cell_length_a 3.512
_cell_length_b 3.512
_cell_length_c 9.903
_cell_angle_alpha 79.79
_cell_angle_beta 79.79
_cell_angle_gamma 60.00
loop_
_space_group_symop_operation_xyz
'x,y,z'
loop_
_atom_site_label
_atom_site_fract_x
_atom_site_fract_y
_atom_site_fract_z
_atom_site_occupancy
Al1 0.000 0.000 0.000 1
Lu1 0.258 0.258 0.227 1
Lu2 0.742 0.742 0.773 1
Pb1 0.500 0.500 0.500 1
# Energy of formation (eV/atom): -0.25

# Mg2NbMo3N6 (PBE, relaxed)
data_Mg2NbMo3N6
_space_group_name_H-M_alt 'P 1'
_space_group_IT_number 1
_cell_length_a 5.310
_cell_length_b 5.310
_cell_length_c 5.347
_cell_angle_alpha 99.10
_cell_angle_beta 99.10
_cell_angle_gamma 120.71
loop_
_space_group_symop_operation_xyz
'x,y,z'
loop_
_atom_site_label
_atom_site_fract_x
_atom_site_fract_y
_atom_site_fract_z
_atom_site_occupancy
N1 0.920 0.576 0.742 1
N2 0.730 0.730 0.231 1
N3 0.576 0.920 0.742 1
N4 0.080 0.424 0.258 1
N5 0.270 0.270 0.769 1
N6 0.424 0.080 0.258 1
Nb1 0.000 0.000 0.000 1
Mo1 0.857 0.143 0.500 1
Mo2 0.143 0.857 0.500 1
Mo3 0.500 0.500 0.500 1
Mg1 0.671 0.329 0.000 1
Mg2 0.329 0.671 0.000 1
# Uncorrected formation energy (eV/atom): -0.646